## i
Below is a geometry-optimized Sr3TlAg structure, with properties calculated at the GGA-PBE level.

POSCAR file:
```
Sr3TlAg
1.0
-4.9630 -2.7441 1.1041
0.7182 -2.9747 -7.0045
4.3716 -6.2036 4.0420
Sr Ag Tl
6 2 2
direct
0.5759 0.4617 0.5416
0.5737 0.2750 0.0348
0.5218 0.9755 0.6421
0.9938 0.7865 0.8672
0.5448 0.7842 0.2150
0.0572 0.1579 0.3610
0.4539 0.6163 0.8723
0.0864 0.4937 0.1236
0.0647 0.2785 0.7853
0.0590 0.7138 0.4339
```

Computed properties:
Density ... 5.07 g/cm3

---

## ii
Below is a geometry-optimized Sr3TlAg structure, with properties calculated at the GGA-PBE level.

POSCAR file:
```
Sr3TlAg
1.0
6.0808 0.0000 0.0000
0.0000 6.0808 0.0000
0.0000 0.0000 6.0808
Sr Tl Ag
3 1 1
direct
0.0000 0.5000 0.0000
0.5000 0.0000 0.0000
0.0000 0.0000 0.5000
0.5000 0.5000 0.5000
0.0000 0.0000 0.0000
```

Computed properties:
Density ... 4.25 g/cm3

---

## iii
Below is a geometry-optimized Sr3TlAg structure, with properties calculated at the GGA-PBE level.

POSCAR file:
```
Sr3TlAg
1.0
5.5985 0.0000 1.2794
0.0000 5.7392 0.0000
0.3254 0.0000 11.4651
Ag Sr Tl
2 6 2
direct
0.1649 0.2500 0.3185
0.4834 0.7500 0.6815
0.7508 0.2500 0.1468
0.3996 0.2500 0.8492
0.5749 0.2500 0.4985
0.8976 0.7500 0.8532
0.0734 0.7500 0.5015
0.2488 0.7500 0.1508
0.6675 0.7500 0.3133
0.9808 0.2500 0.6867
```

Computed properties:
Density ... 5.22 g/cm3

---

Short version: iii is the most stable of them.

---

## i
Below is a geometry-optimized Sr3Tl2Ag structure, with properties calculated at the GGA-PBE level.

POSCAR file:
```
Sr3Tl2Ag
1.0
-2.3832 3.1956 0.8349
-1.2652 -1.8343 3.4093
8.9535 5.0932 6.0631
Tl Sr Ag
2 3 1
direct
0.5000 0.5000 0.1655
0.5000 0.5000 0.8345
0.0000 0.0000 0.0000
0.0000 0.0000 0.6607
0.0000 0.0000 0.3393
0.5000 0.5000 0.5000
```

Computed properties:
Density ... 6.53 g/cm3

---

## ii
Below is a geometry-optimized Sr3Tl2Ag structure, with properties calculated at the GGA-PBE level.

POSCAR file:
```
Sr3Tl2Ag
1.0
4.0412 0.0000 0.0000
0.0000 5.4230 -1.7953
0.0000 -0.0158 9.0406
Tl Sr Ag
2 3 1
direct
0.0000 0.6739 0.3479
0.0000 0.3261 0.6521
0.5000 0.8407 0.6814
0.5000 0.1593 0.3186
0.5000 0.5000 0.0000
0.0000 0.0000 0.0000
```

Computed properties:
Density ... 6.54 g/cm3

---

Short version: ii is the most stable of them.

---

## i
Below is a geometry-optimized SrTl2Ag2 structure, with properties calculated at the GGA-PBE level.

POSCAR file:
```
SrTl2Ag2
1.0
-3.2701 3.0373 1.3581
1.4175 -0.8257 5.2597
4.7430 2.8601 -2.9887
Sr Tl Ag
1 2 2
direct
0.0000 0.0000 0.0000
0.6396 0.5531 0.2791
0.3604 0.4469 0.7209
0.2689 0.8713 0.5379
0.7311 0.1287 0.4621
```

Computed properties:
Density ... 8.41 g/cm3

---

## ii
Below is a geometry-optimized SrTl2Ag2 structure, with properties calculated at the GGA-PBE level.

POSCAR file:
```
SrTl2Ag2
1.0
8.2749 0.0000 0.0000
0.0000 8.2749 0.0000
0.0000 0.0000 3.9575
Ag Tl Sr
4 4 2
direct
0.1217 0.3783 0.0000
0.8783 0.6217 0.0000
0.6217 0.1217 0.0000
0.3783 0.8783 0.0000
0.1732 0.6732 0.5000
0.6732 0.8268 0.5000
0.3268 0.1732 0.5000
0.8268 0.3268 0.5000
0.0000 0.0000 0.0000
0.5000 0.5000 0.0000
```

Computed properties:
Density ... 8.73 g/cm3

---

## iii
Below is a geometry-optimized SrTl2Ag2 structure, with properties calculated at the GGA-PBE level.

POSCAR file:
```
SrTl2Ag2
1.0
-4.5646 -0.2561 0.6816
0.7108 -0.6280 4.5240
-2.1500 6.0119 3.5338
Ag Tl Sr
2 2 1
direct
0.6038 0.6038 0.7924
0.3962 0.3962 0.2076
0.2500 0.7500 0.5000
0.7500 0.2500 0.5000
0.0000 0.0000 0.0000
```

Computed properties:
Density ... 8.48 g/cm3

---

## iv
Below is a geometry-optimized SrTl2Ag2 structure, with properties calculated at the GGA-PBE level.

POSCAR file:
```
SrTl2Ag2
1.0
-0.7229 0.4970 5.3863
-1.3138 -4.3789 2.9893
4.5744 -2.9709 0.8980
Ag Tl Sr
2 2 1
direct
0.1117 0.2784 0.7493
0.8883 0.7216 0.2507
0.2422 0.0149 0.3186
0.7578 0.9851 0.6814
0.5000 0.5000 0.0000
```

Computed properties:
Density ... 8.91 g/cm3

---

Short version: i is the most stable of them.